Si2Sn2Cl, optimized geometry, DFT PBEsol; calculated volume = 22.210 Å³ per atom; formation energy from raw total energies = -5.94 kJ/mol of atoms; E = -0.164 hartree per atom
1.0
-3.6092 0.0985 -0.3184
-0.3094 -2.2763 2.8036
1.6706 7.6631 4.0633
Cl Si Sn
1 2 2
Cartesian
0.0000 0.0000 0.0000
-1.9490 3.3363 2.4937
-0.2991 2.1490 4.0547
-0.2216 5.0443 4.0711
-2.0265 0.4410 2.4773

***

Si2SnCl2, optimized geometry, DFT PBEsol; calculated volume = 20.621 Å³ per atom; formation energy from raw total energies = 22.73 kJ/mol of atoms; E = -0.137 hartree per atom
1.0
4.3036 0.0000 0.0000
0.0000 4.3036 0.0000
-2.1518 -2.1518 5.5669
Cl Sn Si
2 1 2
Cartesian
2.1518 0.0000 2.7835
0.0000 2.1518 2.7835
0.0000 0.0000 0.0000
2.1518 2.1518 1.1658
0.0000 0.0000 4.4012

***

SrSiCl2, optimized geometry, DFT PBEsol; calculated volume = 23.495 Å³ per atom; formation energy from raw total energies = -84.18 kJ/mol of atoms; E = -0.139 hartree per atom
1.0
4.0257 0.0000 0.0000
0.0000 4.0257 0.0000
-2.0128 -2.0128 5.7990
Si Cl Sr
1 2 1
Cartesian
2.0128 2.0128 0.0000
0.0000 0.0000 0.0000
2.0128 0.0000 2.8995
0.0000 2.0128 2.8995

***

SrSi2Cl, optimized geometry, DFT PBEsol; calculated volume = 21.731 Å³ per atom; formation energy from raw total energies = 41.66 kJ/mol of atoms; E = -0.125 hartree per atom
1.0
-1.3304 -0.9149 -2.9252
-2.2518 -2.4658 -0.1128
-7.8059 4.8592 0.1220
Cl Si Sr
1 2 1
Cartesian
0.0000 0.0000 0.0000
-8.7203 1.2711 -2.1562
-2.6677 0.2073 -0.7598
-5.6940 0.7392 -1.4580

***

Sr2SiCl, optimized geometry, DFT PBEsol; calculated volume = 30.251 Å³ per atom; formation energy from raw total energies = -100.49 kJ/mol of atoms; E = -0.143 hartree per atom
1.0
4.1858 0.0000 0.0000
-2.0929 3.8328 0.0015
0.0000 -2.4533 7.5415
Sr Si Cl
2 1 1
Cartesian
0.0000 1.3479 1.8069
2.0929 0.0317 5.7361
2.0929 0.0000 0.0000
0.0000 -1.2266 3.7707

***

SrSiCl2, optimized geometry, DFT PBEsol; calculated volume = 31.395 Å³ per atom; formation energy from raw total energies = -84.03 kJ/mol of atoms; E = -0.139 hartree per atom
1.0
3.3934 0.0000 0.0000
0.0000 3.3934 0.0000
0.0000 0.0000 10.9058
Cl Si Sr
2 1 1
Cartesian
0.0000 0.0000 3.8041
0.0000 0.0000 7.1016
1.6967 1.6967 0.0000
1.6967 1.6967 5.4529

***

Sr3SiCl, optimized geometry, DFT PBEsol; calculated volume = 32.213 Å³ per atom; formation energy from raw total energies = -49.83 kJ/mol of atoms; E = -0.117 hartree per atom
1.0
-2.0136 1.9869 4.6476
2.7458 -3.7703 2.8015
4.2437 3.3823 0.3926
Si Sr Cl
1 3 1
Cartesian
2.4879 0.7995 3.9209
-1.0068 0.9935 2.3238
1.3729 -1.8852 1.4007
2.1218 1.6911 0.1963
0.0000 0.0000 0.0000

***

TaSiCl, optimized geometry, DFT PBEsol; calculated volume = 18.379 Å³ per atom; formation energy from raw total energies = -7.28 kJ/mol of atoms; E = -0.252 hartree per atom
1.0
-1.9220 0.7409 1.9845
-1.0068 -2.6018 -0.6309
5.4242 -1.7770 4.1692
Si Ta Cl
1 1 1
Cartesian
0.0770 -1.9843 2.5631
2.6948 -1.8425 3.2979
2.2190 -3.4489 5.1845

***

TaSi2Cl, optimized geometry, DFT PBEsol; calculated volume = 15.905 Å³ per atom; formation energy from raw total energies = 8.19 kJ/mol of atoms; E = -0.236 hartree per atom; ΔE to the lowest computed polymorph = 16 meV per atom
1.0
-1.7537 2.0867 0.9461
-2.9784 -1.0334 -3.2414
-1.2875 -4.2194 2.5283
Si Ta Cl
2 1 1
Cartesian
-3.1198 -0.2849 -0.1963
-1.2492 -3.8734 2.3828
-1.0842 -1.3003 1.4108
-3.3745 -2.9934 0.9012

***

TaSi2Cl, optimized geometry, DFT PBEsol; calculated volume = 15.394 Å³ per atom; formation energy from raw total energies = 23.98 kJ/mol of atoms; E = -0.230 hartree per atom; ΔE to the lowest computed polymorph = 179 meV per atom
1.0
3.3094 0.0000 0.0000
0.0000 4.1737 0.0000
-1.6547 -2.0869 4.4580
Cl Si Ta
1 2 1
Cartesian
0.0000 2.0869 0.0000
0.0000 0.0000 2.1280
1.6547 2.0869 2.3300
1.6547 0.0000 0.0000

***

TaSi2Cl, optimized geometry, DFT PBEsol; calculated volume = 17.135 Å³ per atom; formation energy from raw total energies = 6.69 kJ/mol of atoms; E = -0.237 hartree per atom; ΔE to the lowest computed polymorph = 0 meV per atom
1.0
-0.4679 -2.3022 2.3111
1.1809 -2.2959 -2.0480
5.8236 1.0291 2.2042
Si Cl Ta
2 1 1
Cartesian
4.6764 0.8264 1.7700
1.1472 0.2027 0.4342
3.2683 -1.7845 1.2336
0.3565 -2.2990 0.1315

***

TaSi2Cl, optimized geometry, DFT PBEsol; calculated volume = 15.520 Å³ per atom; formation energy from raw total energies = 43.03 kJ/mol of atoms; E = -0.223 hartree per atom; ΔE to the lowest computed polymorph = 377 meV per atom
1.0
4.4445 0.0000 0.0000
2.2223 3.8491 0.0000
2.2223 1.2830 3.6290
Cl Ta Si
1 1 2
Cartesian
4.4445 2.5661 1.8145
2.2223 1.2830 0.9072
6.6668 3.8491 2.7217
0.0000 0.0000 0.0000

***

Si2TcCl, optimized geometry, DFT PBEsol; calculated volume = 14.089 Å³ per atom; formation energy from raw total energies = 35.06 kJ/mol of atoms; E = -0.214 hartree per atom; ΔE to the lowest computed polymorph = 0 meV per atom
1.0
-0.6135 -2.8154 0.3862
4.2499 -1.0741 -1.0797
-0.1824 0.6519 4.4635
Tc Si Cl
1 2 1
Cartesian
-0.3067 -1.4077 0.1931
-0.0912 0.3260 2.2318
2.1250 -0.5371 -0.5398
1.7270 -1.6188 1.8850

***

SiTc4Cl, optimized geometry, DFT PBEsol; calculated volume = 15.394 Å³ per atom; formation energy from raw total energies = 90.32 kJ/mol of atoms; E = -0.289 hartree per atom
1.0
-0.6761 4.5781 -2.0805
-3.5499 0.6682 -3.5631
-4.1814 2.6734 1.0547
Tc Si Cl
4 1 1
Cartesian
-3.4816 4.6140 -1.0896
-3.1667 3.6140 -3.3925
-4.9147 2.6642 -1.8290
-5.2519 4.9472 -2.8665
0.0000 0.0000 0.0000
-2.1019 1.9799 -1.1472

***

SiTcCl2, optimized geometry, DFT PBEsol; calculated volume = 19.833 Å³ per atom; formation energy from raw total energies = -30.48 kJ/mol of atoms; E = -0.205 hartree per atom; ΔE to the lowest computed polymorph = 0 meV per atom
1.0
-0.8028 -0.6047 2.8772
2.8077 -1.0372 0.5654
2.4323 7.8539 2.3293
Cl Tc Si
2 1 1
Cartesian
0.1472 0.4754 0.1410
2.7027 4.6692 3.3496
2.0746 2.6409 2.7480
0.7288 2.3534 0.6980

***

SiTc2Cl, optimized geometry, DFT PBEsol; calculated volume = 13.715 Å³ per atom; formation energy from raw total energies = 7.28 kJ/mol of atoms; E = -0.275 hartree per atom; ΔE to the lowest computed polymorph = 0 meV per atom
1.0
2.8387 0.0000 0.0000
1.4194 2.4584 0.0000
1.4194 0.8195 7.8610
Tc Cl Si
2 1 1
Cartesian
1.4194 0.8195 1.9166
4.2581 2.4584 5.9445
2.8387 1.6389 3.9305
0.0000 0.0000 0.0000

***

SiTcCl, optimized geometry, DFT PBEsol; calculated volume = 15.255 Å³ per atom; formation energy from raw total energies = 4.64 kJ/mol of atoms; E = -0.231 hartree per atom; ΔE to the lowest computed polymorph = 72 meV per atom
1.0
3.0893 0.0000 0.0000
-1.5447 2.6754 0.0000
0.0000 0.0000 5.5371
Si Cl Tc
1 1 1
Cartesian
0.0000 1.7836 3.5206
0.0000 0.0000 0.0183
1.5447 0.8918 1.9982

***

SiTc2Cl, optimized geometry, DFT PBEsol; calculated volume = 14.259 Å³ per atom; formation energy from raw total energies = 13.15 kJ/mol of atoms; E = -0.273 hartree per atom; ΔE to the lowest computed polymorph = 61 meV per atom
1.0
2.8018 0.0000 0.0255
0.0000 3.8439 0.0000
-0.0477 0.0000 5.2955
Cl Tc Si
1 2 1
Cartesian
-0.0201 0.0000 2.2592
0.0004 0.0000 0.0085
1.3881 1.9220 1.4454
1.3619 1.9220 4.2555

***

SiTcCl, optimized geometry, DFT PBEsol; calculated volume = 17.381 Å³ per atom; formation energy from raw total energies = -2.28 kJ/mol of atoms; E = -0.234 hartree per atom; ΔE to the lowest computed polymorph = 0 meV per atom
1.0
-0.1977 -3.0068 -0.1260
0.9498 -0.1822 2.8571
-5.8035 1.8750 0.4566
Tc Cl Si
1 1 1
Cartesian
-2.8456 -1.4280 2.4471
-0.0722 0.0037 0.0242
-2.1336 0.1102 0.7163

***

SiTcCl2, optimized geometry, DFT PBEsol; calculated volume = 15.257 Å³ per atom; formation energy from raw total energies = 61.21 kJ/mol of atoms; E = -0.170 hartree per atom; ΔE to the lowest computed polymorph = 950 meV per atom
1.0
-3.1833 -1.6211 -1.9538
1.3048 -2.1778 3.9236
-2.3427 0.6681 3.2626
Tc Cl Si
1 2 1
Cartesian
-3.4921 -1.8037 2.9434
-0.7291 -1.3271 2.2890
0.0000 0.0000 0.0000
-2.7630 -0.4765 0.6544

***

SiTcCl2, optimized geometry, DFT PBEsol; calculated volume = 17.421 Å³ per atom; formation energy from raw total energies = 28.93 kJ/mol of atoms; E = -0.182 hartree per atom; ΔE to the lowest computed polymorph = 616 meV per atom
1.0
2.9894 0.0000 0.0000
1.4947 2.5889 0.0000
1.4947 0.8630 9.0042
Tc Cl Si
1 2 1
Cartesian
0.0000 0.0000 0.0000
4.4841 2.5889 7.2845
1.4947 0.8630 1.7197
2.9894 1.7259 4.5021

***

SiTc2Cl, optimized geometry, DFT PBEsol; calculated volume = 13.131 Å³ per atom; formation energy from raw total energies = 24.38 kJ/mol of atoms; E = -0.269 hartree per atom; ΔE to the lowest computed polymorph = 177 meV per atom
1.0
-0.2643 1.4149 -2.5213
-0.8275 -3.6748 -1.9756
-4.1542 0.5388 0.7378
Tc Cl Si
2 1 1
Cartesian
-2.0771 0.2694 0.3689
-0.4137 -1.8374 -0.9878
-2.6229 -0.8605 -1.8795
-0.1321 0.7075 -1.2606

***

Si2TcCl, optimized geometry, DFT PBEsol; calculated volume = 21.983 Å³ per atom; formation energy from raw total energies = 48.36 kJ/mol of atoms; E = -0.209 hartree per atom; ΔE to the lowest computed polymorph = 138 meV per atom
1.0
-3.3155 2.9748 -3.6367
-0.4772 -4.6412 -3.3615
-2.4265 -0.6802 6.2022
Si Cl Tc
4 2 2
Cartesian
-2.2696 -0.4820 3.9481
-4.2146 -1.7880 0.1066
-2.0986 -3.2670 -2.5692
-3.8555 0.8440 -3.0773
-3.8192 0.7307 -0.4668
-1.8963 -0.8332 -3.4991
-2.4000 -3.0772 -0.3292
0.0000 0.0000 0.0000

***

Si2TeCl, optimized geometry, DFT PBEsol; calculated volume = 22.080 Å³ per atom; formation energy from raw total energies = 28.41 kJ/mol of atoms; E = -0.146 hartree per atom
1.0
2.9765 0.0000 0.0000
0.0000 5.4577 -0.0320
0.0000 -0.4483 5.4394
Cl Si Te
1 2 1
Cartesian
0.0000 0.0000 0.0000
0.0000 -0.2241 2.7197
0.0000 2.7289 -0.0160
0.0000 2.5047 2.7037

***

TiSiCl2, optimized geometry, DFT PBEsol; calculated volume = 25.274 Å³ per atom; formation energy from raw total energies = 14.59 kJ/mol of atoms; E = -0.161 hartree per atom
1.0
6.2531 0.0000 0.0000
-3.1265 6.0427 -0.0009
0.0000 -3.2346 5.3515
Cl Ti Si
4 2 2
Cartesian
-1.5633 2.2854 3.7163
1.5633 4.3527 0.2960
1.1283 0.2977 2.0066
5.1248 -1.3196 4.6823
0.0000 0.5954 4.0132
0.0000 0.0000 0.0000
3.1265 2.2127 1.3374
3.1265 -1.6173 2.6757

***

TlSiCl2, optimized geometry, DFT PBEsol; calculated volume = 23.432 Å³ per atom; formation energy from raw total energies = -33.54 kJ/mol of atoms; E = -0.127 hartree per atom; ΔE to the lowest computed polymorph = 0 meV per atom
1.0
3.6471 0.0000 0.0000
0.0000 5.5868 0.0000
-1.8236 -2.7934 4.6001
Cl Tl Si
2 1 1
Cartesian
1.8236 2.7934 2.8295
0.0000 0.0000 1.7705
0.0000 2.7934 0.0000
1.8236 0.0000 0.0000

***

TlSi2Cl, optimized geometry, DFT PBEsol; calculated volume = 19.831 Å³ per atom; formation energy from raw total energies = 39.07 kJ/mol of atoms; E = -0.133 hartree per atom
1.0
-2.1436 -2.1691 -0.4899
2.8141 -0.7932 0.9353
-2.8561 0.7399 9.2203
Tl Cl Si
1 1 2
Cartesian
-2.4998 -0.7146 4.3652
-1.0718 -1.0845 -0.2450
-2.2264 0.5767 7.1874
-0.6297 0.1631 2.0329

***

TlSiCl, optimized geometry, DFT PBEsol; calculated volume = 25.038 Å³ per atom; formation energy from raw total energies = 32.45 kJ/mol of atoms; E = -0.115 hartree per atom
1.0
-1.7275 -2.6736 3.5067
2.9036 -1.6974 3.3343
-0.1976 1.7166 4.4095
Cl Tl Si
1 1 1
Cartesian
0.4892 -1.3272 5.6253
0.0000 0.0000 0.0000
0.7339 -1.9908 8.4379

***

TlSiCl2, optimized geometry, DFT PBEsol; calculated volume = 22.262 Å³ per atom; formation energy from raw total energies = -5.73 kJ/mol of atoms; E = -0.116 hartree per atom; ΔE to the lowest computed polymorph = 288 meV per atom
1.0
5.0169 0.0000 0.0000
-2.5084 4.3304 0.2399
0.0000 2.6708 4.2469
Cl Si Tl
2 1 1
Cartesian
2.5084 4.1683 3.3051
0.0000 2.8329 1.1817
0.0000 0.0000 0.0000
2.5084 1.3354 2.1234

***

Tl2SiCl, optimized geometry, DFT PBEsol; calculated volume = 23.616 Å³ per atom; formation energy from raw total energies = 8.86 kJ/mol of atoms; E = -0.116 hartree per atom
1.0
-3.1228 -0.3269 1.0336
-1.7002 -2.7423 -0.7182
1.6300 -5.2428 8.5527
Tl Si Cl
2 1 1
Cartesian
-4.7187 -3.2051 0.5876
-2.4399 -6.1751 6.5333
-0.7189 -2.1814 2.4240
-1.7350 -3.9754 4.0726